This record from the Alexandria database describes an optimized crystal structure of Pm3Tm4S8. The functional is PBE-GGA.

Output
Its density of states at the Fermi level is 6.47 states/eV/f.u. The magnetic moment is 0.000 μB per formula unit. As for the space group: C2/m. Its total energy is -6.3654 eV/atom. Its formation energy from raw total energies is -2022 meV per atom.

Unit cell a=7.856 b=7.856 c=7.829 alpha=119.83 beta=119.83 gamma=90.04
Sites, in units of the cell vectors:
Pm (0.000, 0.000, 0.000)
Pm (0.000, 0.500, 0.000)
Pm (0.500, 0.000, 0.000)
Tm (0.000, 0.500, 0.500)
Tm (0.500, 0.000, 0.500)
Tm (0.500, 0.500, 0.000)
Tm (0.500, 0.500, 0.500)
S (0.254, 0.746, 0.500)
S (0.256, 0.744, 0.000)
S (0.259, 0.259, 0.511)
S (0.260, 0.260, 0.009)
S (0.740, 0.740, 0.991)
S (0.741, 0.741, 0.489)
S (0.744, 0.256, 0.000)
S (0.746, 0.254, 0.500)